a:
# GGA-PBEsol BaZrZn2, relaxed
data_BaZrZn2
_chemical_formula_sum 'Ba1 Zr1 Zn2'
_cell_length_a 3.480
_cell_length_b 3.480
_cell_length_c 7.650
_cell_angle_alpha 90.00
_cell_angle_beta 90.00
_cell_angle_gamma 90.00
_symmetry_space_group_name_H-M 'P 4/m m m'
_symmetry_Int_Tables_number 123
_symmetry_space_group_name_Hall '-P 4 2'
loop_
_atom_site_label
_atom_site_fract_x
_atom_site_fract_y
_atom_site_fract_z
Ba1 0.000 0.000 0.000
Zr1 0.000 0.000 0.500
Zn1 0.500 0.500 0.315
# **Size of the total moment**: 0.000 μB/cell

***

b:
# GGA-PBEsol BaZrZn2, relaxed
data_BaZrZn2
_chemical_formula_sum 'Ba4 Zr4 Zn8'
_cell_length_a 7.225
_cell_length_b 7.225
_cell_length_c 7.225
_cell_angle_alpha 90.00
_cell_angle_beta 90.00
_cell_angle_gamma 90.00
_symmetry_space_group_name_H-M 'F m -3 m'
_symmetry_Int_Tables_number 225
_symmetry_space_group_name_Hall '-F 4 2 3'
loop_
_atom_site_label
_atom_site_fract_x
_atom_site_fract_y
_atom_site_fract_z
Ba1 0.000 0.000 0.000
Zr1 0.000 0.000 0.500
Zn1 0.250 0.250 0.250
# **Size of the total moment**: 0.006 μB/cell

***

Pick a: it beats the second-best structure by 336 meV per atom.